This record from Alexandria describes an optimized crystal structure of TlPt4Se8. The functional is PBE-GGA.

Values from the calculation:
Density of states at the Fermi level (states/eV/f.u.): 4.17
Formation energy (no corrections) (meV per atom): -370
Total magnetic moment (μB/cell): 0.0

Lattice parameters (Å, degrees): 7.563 7.563 8.686 64.19 64.19 60.00
Element x y z (fractional)
Tl 0.500 0.500 0.500
Pt 0.500 0.000 0.000
Pt 0.500 0.500 0.000
Pt 0.000 0.500 0.000
Pt 0.000 0.000 0.000
Se 0.774 0.277 0.174
Se 0.723 0.226 0.826
Se 0.226 0.723 0.826
Se 0.226 0.226 0.826
Se 0.276 0.276 0.173
Se 0.724 0.724 0.827
Se 0.774 0.774 0.174
Se 0.277 0.774 0.174

This record from Alexandria describes an optimized crystal structure of Pb2Au3. The functional is PBE-GGA.

Values from the calculation:
Density of states at the Fermi level (states/eV/f.u.): 2.44
E_form (eV per atom): 0.022
E above lowest polymorph (eV per formula unit): 0.453
Total magnetic moment (μB/cell): 0.0

Lattice parameters (Å, degrees): 3.949 3.949 9.394 90.00 90.00 120.00
Element x y z (fractional)
Pb 0.667 0.333 0.208
Pb 0.333 0.667 0.792
Au 0.000 0.000 0.000
Au 0.667 0.333 0.590
Au 0.333 0.667 0.410

This record from Alexandria describes an optimized crystal structure of Nd5YRh4. The functional is PBE-GGA.

Values from the calculation:
Density of states at the Fermi level (states/eV/f.u.): 5.59
E_form (eV per atom): -0.552
Total magnetic moment (μB/cell): 0.0

Lattice parameters (Å, degrees): 4.280 7.556 9.580 113.31 102.91 90.00
Element x y z (fractional)
Nd 0.836 0.592 0.673
Nd 0.836 0.080 0.673
Nd 0.164 0.920 0.327
Nd 0.500 0.500 0.000
Nd 0.164 0.408 0.327
Y 0.500 0.000 0.000
Rh 0.302 0.802 0.604
Rh 0.000 0.751 0.000
Rh 0.698 0.198 0.396
Rh 0.000 0.249 0.000

This record from Alexandria describes an optimized crystal structure of RbCeNpSe4. The functional is PBE-GGA.

Values from the calculation:
Density of states at the Fermi level (states/eV/f.u.): 12.17
Formation energy (no corrections) (meV per atom): -1374
Total magnetic moment (μB/cell): 6.0

Lattice parameters (Å, degrees): 8.842 8.963 9.041 120.29 90.00 119.55
Element x y z (fractional)
Rb 0.871 0.741 0.121
Rb 0.129 0.259 0.879
Ce 0.500 0.000 0.500
Ce 0.500 0.000 0.000
Np 0.500 0.500 0.500
Np 0.000 0.500 0.500
Se 0.731 0.461 0.685
Se 0.312 0.047 0.273
Se 0.734 0.047 0.273
Se 0.731 0.461 0.276
Se 0.269 0.539 0.724
Se 0.688 0.953 0.727
Se 0.266 0.953 0.727
Se 0.269 0.539 0.315

This record from Alexandria describes an optimized crystal structure of LaHf2ReP. The functional is PBE-GGA.

Values from the calculation:
Density of states at the Fermi level (states/eV/f.u.): 4.35
E_form (eV per atom): 2.085
Total magnetic moment (μB/cell): 0.0

Lattice parameters (Å, degrees): 5.150 4.721 5.150 90.00 90.00 90.00
Element x y z (fractional)
Re 0.000 0.500 0.000
Hf 0.000 0.000 0.500
Hf 0.500 0.000 0.000
P 0.500 0.500 0.500
La 0.000 0.000 0.000

This record from Alexandria describes an optimized crystal structure of Ba2SrCdIr. The functional is PBE-GGA.

Values from the calculation:
Density of states at the Fermi level (states/eV/f.u.): 2.44
E_form (eV per atom): -0.132
Total magnetic moment (μB/cell): 0.0

Lattice parameters (Å, degrees): 6.089 6.089 5.858 90.00 90.00 90.00
Element x y z (fractional)
Sr 0.000 0.000 0.500
Ir 0.000 0.000 0.000
Ba 0.000 0.500 0.000
Ba 0.500 0.000 0.000
Cd 0.500 0.500 0.500

This record from Alexandria describes an optimized crystal structure of ScTa5. The functional is PBE-GGA.

Values from the calculation:
Density of states at the Fermi level (states/eV/f.u.): 14.08
E_form (eV per atom): 0.222
Total magnetic moment (μB/cell): 0.0

Lattice parameters (Å, degrees): 5.501 5.501 5.501 60.00 60.00 60.00
Element x y z (fractional)
Sc 0.000 0.000 0.000
Ta 0.625 0.625 0.125
Ta 0.250 0.250 0.250
Ta 0.625 0.625 0.625
Ta 0.125 0.625 0.625
Ta 0.625 0.125 0.625

This record from Alexandria describes an optimized crystal structure of HfTl2Bi. The functional is PBE-GGA.

Values from the calculation:
Density of states at the Fermi level (states/eV/f.u.): 2.97
E_form (eV per atom): 0.344
E above lowest polymorph (eV per formula unit): 0.000
Total magnetic moment (μB/cell): 0.0

Lattice parameters (Å, degrees): 3.359 3.359 12.001 81.96 81.96 60.00
Element x y z (fractional)
Tl 0.083 0.083 0.750
Tl 0.917 0.917 0.250
Hf 0.000 0.000 0.000
Bi 0.500 0.500 0.500

This record from Alexandria describes an optimized crystal structure of SrBeGa3. The functional is PBE-GGA.

Values from the calculation:
Density of states at the Fermi level (states/eV/f.u.): 1.60
E_form (eV per atom): -0.041
E above lowest polymorph (eV per formula unit): 0.000
Total magnetic moment (μB/cell): 0.0

Lattice parameters (Å, degrees): 4.718 4.718 4.718 90.00 90.00 90.00
Element x y z (fractional)
Sr 0.500 0.500 0.500
Ga 0.000 0.500 0.000
Ga 0.000 0.000 0.500
Ga 0.500 0.000 0.000
Be 0.000 0.000 0.000

This record from Alexandria describes an optimized crystal structure of LiAsPb. The functional is PBE-GGA.

Values from the calculation:
Density of states at the Fermi level (states/eV/f.u.): 1.44
E_form (eV per atom): -0.006
E above lowest polymorph (eV per formula unit): 0.824
Total magnetic moment (μB/cell): 0.0

Lattice parameters (Å, degrees): 4.879 4.879 4.879 60.00 60.00 60.00
Element x y z (fractional)
As 0.000 0.000 0.000
Li 0.500 0.500 0.500
Pb 0.750 0.750 0.750